(1)
VASP calculation (GGA-PBE) on crystalline SrErMg2 at its relaxed geometry.

Cell and atoms, written as POSCAR:
```
SrErMg2
1.0
3.9583 0.0000 0.0000
0.0000 3.9583 0.0000
0.0000 0.0000 8.0006
Sr Er Mg
1 1 2
Cartesian
0.0000 0.0000 0.0000
0.0000 0.0000 4.0003
1.9791 1.9791 2.2877
1.9791 1.9791 5.7129
```

Summary:
For the raw total energy, the calculation gives -2.392 eV/atom. As for the density of states at the Fermi level: 4.4 states/eV/cell. The calculation puts the total magnetic moment at 0.1 μB per formula unit. The value obtained for the density is 4.02 g cm⁻³. Its energy above the most stable polymorph in this dataset is 0.0000 eV per atom.

(2)
VASP calculation (GGA-PBE) on crystalline SrErMg2 at its relaxed geometry.

Cell and atoms, written as POSCAR:
```
SrErMg2
1.0
0.0000 3.9677 3.9677
3.9677 0.0000 3.9677
3.9677 3.9677 0.0000
Sr Er Mg
1 1 2
Cartesian
0.0000 0.0000 0.0000
3.9677 3.9677 3.9677
1.9838 1.9838 1.9838
5.9515 5.9515 5.9515
```

Summary:
For the raw total energy, the calculation gives -2.344 eV/atom. As for the density of states at the Fermi level: 4.5 states/eV/cell. The calculation puts the total magnetic moment at 0.0 μB per formula unit. The value obtained for the density is 4.03 g cm⁻³. Its energy above the most stable polymorph in this dataset is 0.0477 eV per atom.

(3)
VASP calculation (GGA-PBE) on crystalline SrEr2Mg at its relaxed geometry.

Cell and atoms, written as POSCAR:
```
SrEr2Mg
1.0
3.7847 0.0000 0.0000
0.0000 3.7847 0.0000
0.0000 0.0000 9.3289
Sr Er Mg
1 2 1
Cartesian
0.0000 0.0000 0.0000
1.8924 1.8924 2.8801
1.8924 1.8924 6.4488
0.0000 0.0000 4.6645
```

Summary:
For the raw total energy, the calculation gives -3.010 eV/atom. As for the density of states at the Fermi level: 5.4 states/eV/cell. The calculation puts the total magnetic moment at 0.0 μB per formula unit. The value obtained for the density is 5.55 g cm⁻³. Its energy above the most stable polymorph in this dataset is 0.0000 eV per atom.

(4)
VASP calculation (GGA-PBE) on crystalline SrEr4Mg5 at its relaxed geometry.

Cell and atoms, written as POSCAR:
```
SrEr4Mg5
1.0
3.8140 0.0000 0.0000
0.0000 3.8140 0.0000
0.0000 0.0000 19.5377
Sr Er Mg
1 4 5
Cartesian
0.0000 0.0000 0.0000
0.0000 0.0000 4.2640
0.0000 0.0000 7.9281
0.0000 0.0000 11.6096
0.0000 0.0000 15.2738
1.9070 1.9070 2.3780
1.9070 1.9070 6.0901
1.9070 1.9070 9.7689
1.9070 1.9070 13.4477
1.9070 1.9070 17.1597
```

Summary:
For the raw total energy, the calculation gives -2.845 eV/atom. As for the density of states at the Fermi level: 11.6 states/eV/cell. The calculation puts the total magnetic moment at 0.0 μB per formula unit. The value obtained for the density is 5.13 g cm⁻³.

(5)
VASP calculation (GGA-PBE) on crystalline Sr3Er3MgTe8 at its relaxed geometry.

Cell and atoms, written as POSCAR:
```
Sr3Er3MgTe8
1.0
4.4278 2.5564 7.5894
-4.4278 2.5564 7.5894
0.0000 -5.1128 7.5894
Sr Er Mg Te
3 3 1 8
Cartesian
-2.2139 -1.2782 7.5894
-2.2139 1.2782 15.1789
0.0000 2.5564 7.5894
-4.4278 0.0000 11.3842
-2.2139 1.2782 3.7947
2.2139 1.2782 3.7947
0.0000 0.0000 11.3842
-2.2059 -1.2736 13.0765
0.0000 0.0000 5.5257
0.0000 -2.5472 9.6918
-2.2059 1.2736 9.6918
2.2059 -1.2736 13.0765
0.0000 2.5472 13.0765
0.0000 0.0000 17.2427
2.2059 1.2736 9.6918
```

Summary:
For the raw total energy, the calculation gives -4.438 eV/atom. As for the density of states at the Fermi level: 4.0 states/eV/cell. The calculation puts the total magnetic moment at 0.0 μB per formula unit. Its uncorrected formation energy is -21.101 eV/f.u. The value obtained for the density is 5.83 g cm⁻³.

(6)
VASP calculation (GGA-PBE) on crystalline Sr2ErMg2Tl5 at its relaxed geometry.

Cell and atoms, written as POSCAR:
```
Sr2ErMg2Tl5
1.0
11.6709 0.0000 0.0000
0.0000 11.6709 0.0000
0.0000 0.0000 4.2844
Sr Er Mg Tl
4 2 4 10
Cartesian
2.0214 3.8141 0.0000
3.8141 9.6495 0.0000
7.8568 2.0214 0.0000
9.6495 7.8568 0.0000
0.0000 0.0000 0.0000
5.8354 5.8354 0.0000
1.4496 7.2850 0.0000
4.3858 1.4496 0.0000
7.2850 10.2213 0.0000
10.2213 4.3858 0.0000
0.0000 5.8354 2.1422
0.7979 9.3268 2.1422
2.3441 0.7979 2.1422
3.4913 6.6334 2.1422
5.0375 3.4913 2.1422
5.8354 0.0000 2.1422
6.6334 8.1795 2.1422
8.1795 5.0375 2.1422
9.3268 10.8730 2.1422
10.8730 2.3441 2.1422
```

Summary:
For the raw total energy, the calculation gives -2.532 eV/atom. As for the density of states at the Fermi level: 8.2 states/eV/cell. The calculation puts the total magnetic moment at 0.0 μB per formula unit. The value obtained for the density is 8.04 g cm⁻³.

(7)
VASP calculation (GGA-PBE) on crystalline SrErMg2Tl4 at its relaxed geometry.

Cell and atoms, written as POSCAR:
```
SrErMg2Tl4
1.0
2.6303 1.5186 9.1139
-2.6303 1.5186 9.1139
0.0000 -3.0372 9.1139
Sr Er Mg Tl
1 1 2 4
Cartesian
0.0000 0.0000 0.0000
0.0000 0.0000 13.6708
0.0000 0.0000 6.7346
0.0000 0.0000 20.6070
0.0000 0.0000 3.4487
0.0000 0.0000 10.4451
0.0000 0.0000 16.8965
0.0000 0.0000 23.8930
```

Summary:
For the raw total energy, the calculation gives -2.598 eV/atom. As for the density of states at the Fermi level: 2.9 states/eV/cell. The calculation puts the total magnetic moment at 0.0 μB per formula unit. The value obtained for the density is 8.52 g cm⁻³.

(8)
VASP calculation (GGA-PBE) on crystalline Sr2ErMg12Zn3 at its relaxed geometry.

Cell and atoms, written as POSCAR:
```
Sr2ErMg12Zn3
1.0
4.4576 2.5736 7.5882
-4.4576 2.5736 7.5882
0.0000 -5.1472 7.5882
Sr Er Mg Zn
2 1 12 3
Cartesian
0.0000 0.0000 1.9175
0.0000 0.0000 20.8472
0.0000 0.0000 11.3823
-2.7683 -1.5983 10.4159
0.0000 -1.8820 8.8180
-1.6298 0.9410 8.8180
0.0000 -3.1965 12.3488
-2.7683 1.5983 12.3488
-1.6298 -0.9410 13.9467
1.6298 0.9410 8.8180
2.7683 -1.5983 10.4159
0.0000 3.1965 10.4159
1.6298 -0.9410 13.9467
0.0000 1.8820 13.9467
2.7683 1.5983 12.3488
-2.2288 -1.2868 7.5882
-2.2288 1.2868 15.1765
0.0000 2.5736 7.5882
```

Summary:
For the raw total energy, the calculation gives -1.513 eV/atom. As for the density of states at the Fermi level: 9.7 states/eV/cell. The calculation puts the total magnetic moment at 0.0 μB per formula unit. The value obtained for the density is 2.64 g cm⁻³.